Material: CeSnAu
Method: DFT, GGA-PBEsol
State: relaxed

E_form in meV per atom: -651
Crystal system: hexagonal

a b c (Å): 4.7046 4.7046 7.4437
angles (deg): 90.00 90.00 120.00
Last column: nearest neighbours and their distance in Å.
Space group P6_3/mmc (No. 194)
Inequivalent atoms, fractional coordinates:
Ce 0.0000 0.0000 0.0000 [2 per cell]  6 Sn 3.29, 6 Au 3.29
Sn 0.3333 0.6667 0.2500 [2 per cell]  3 Au 2.72
Au 0.3333 0.6667 0.7500 [2 per cell]  3 Sn 2.72

Material: CeZnAu2
Method: DFT, GGA-PBEsol
State: relaxed

E_form in meV per atom: -471
Crystal system: cubic

a b c (Å): 6.8251 6.8251 6.8251
angles (deg): 90.00 90.00 90.00
Last column: nearest neighbours and their distance in Å.
Space group Fm-3m (No. 225)
Inequivalent atoms, fractional coordinates:
Ce 0.0000 0.0000 0.0000 [4 per cell]  8 Au 2.96
Zn 0.0000 0.0000 0.5000 [4 per cell]  8 Au 2.96
Au 0.2500 0.2500 0.2500 [8 per cell]  4 Zn 2.96, 4 Ce 2.96

Material: AuCl
Method: DFT, GGA-PBEsol
State: relaxed

Formation energy (no corrections) in eV/atom: -0.13
Crystal system: orthorhombic

a b c (Å): 3.5000 6.4867 8.1313
angles (deg): 90.00 90.00 90.00
Last column: nearest neighbours and their distance in Å.
Space group Cmme (No. 67)
Inequivalent atoms, fractional coordinates:
Au 0.0000 0.2500 0.1142 [4 per cell]  2 Cl 2.39, 2 Au 2.55
Cl 0.0000 0.2500 0.6858 [4 per cell]  2 Au 2.39

Material: AuCl
Method: DFT, GGA-PBEsol
State: relaxed

Formation energy (no corrections) in eV/atom: -0.14
Crystal system: tetragonal

a b c (Å): 4.1454 4.1454 11.5197
angles (deg): 90.00 90.00 90.00
Last column: nearest neighbours and their distance in Å.
Space group P4_2/ncm (No. 138, origin choice 2)
Inequivalent atoms, fractional coordinates:
Au 0.0000 0.0000 0.0000 [4 per cell]  2 Cl 2.32
Cl 0.2500 0.2500 0.1565 [4 per cell]  2 Au 2.32

Material: Au3Cl
Method: DFT, GGA-PBEsol
State: relaxed

Formation energy (no corrections) in eV/atom: 0.10
Crystal system: monoclinic
Energy relative to the lowest polymorph listed for this composition in meV per atom: 0

a b c (Å): 3.2674 3.4563 6.8517
angles (deg): 90.00 90.10 90.00
Last column: nearest neighbours and their distance in Å.
Space group P2/m (No. 10)
Inequivalent atoms, fractional coordinates:
Au 0.0000 0.0000 0.0000 [1 per cell]  8 Au 2.77-2.78
Au 0.4990 0.5000 0.7912 [2 per cell]  2 Cl 2.64, 5 Au 2.77-2.86
Cl 0.5000 0.0000 0.5000 [1 per cell]  4 Au 2.64

Material: Au3Cl
Method: DFT, GGA-PBEsol
State: relaxed

Formation energy (no corrections) in eV/atom: 0.32
Crystal system: tetragonal
Energy relative to the lowest polymorph listed for this composition in meV per atom: 219

a b c (Å): 4.1617 4.1617 8.0706
angles (deg): 90.00 90.00 90.00
Last column: nearest neighbours and their distance in Å.
Space group I4/mmm (No. 139)
Inequivalent atoms, fractional coordinates:
Au 0.0000 0.0000 0.0000 [2 per cell]  8 Au 2.90, 4 Cl 2.94
Au 0.0000 0.5000 0.2500 [4 per cell]  8 Au 2.90-2.94, 4 Cl 2.90
Cl 0.0000 0.0000 0.5000 [2 per cell]  12 Au 2.90-2.94

Material: Au2Cl
Method: DFT, GGA-PBEsol
State: relaxed

Formation energy (no corrections) in eV/atom: 0.44
Crystal system: hexagonal
Energy relative to the lowest polymorph listed for this composition in meV per atom: 0

a b c (Å): 4.6376 4.6376 5.7902
angles (deg): 90.00 90.00 120.00
Last column: nearest neighbours and their distance in Å.
Space group P6_3/mmc (No. 194)
Inequivalent atoms, fractional coordinates:
Au 0.0000 0.0000 0.0000 [2 per cell]  8 Au 2.90-3.04, 6 Cl 3.04
Au 0.3333 0.6667 0.2500 [2 per cell]  5 Cl 2.68-2.90
Cl 0.3333 0.6667 0.7500 [2 per cell]  5 Au 2.68-2.90

Material: AuCl
Method: DFT, GGA-PBEsol
State: relaxed

Formation energy (no corrections) in eV/atom: -0.14
Crystal system: tetragonal

a b c (Å): 6.7801 6.7801 8.4085
angles (deg): 90.00 90.00 90.00
Last column: nearest neighbours and their distance in Å.
Space group I4_1/amd (No. 141, origin choice 2)
Inequivalent atoms, fractional coordinates:
Au 0.0000 0.0000 0.0000 [8 per cell]  2 Cl 2.29
Cl 0.0000 0.2500 0.1828 [8 per cell]  2 Au 2.29

Material: Au2Cl
Method: DFT, GGA-PBEsol
State: relaxed

Formation energy (no corrections) in eV/atom: 0.77
Crystal system: tetragonal
Energy relative to the lowest polymorph listed for this composition in meV per atom: 333

a b c (Å): 4.7016 4.7016 2.8855
angles (deg): 90.00 90.00 90.00
Last column: nearest neighbours and their distance in Å.
Space group P4/mmm (No. 123)
Inequivalent atoms, fractional coordinates:
Au 0.0000 0.5000 0.0000 [2 per cell]  4 Cl 2.76, 2 Au 2.89
Cl 0.0000 0.0000 0.5000 [1 per cell]  8 Au 2.76, 2 Cl 2.89

Material: CoAuCl3
Method: DFT, GGA-PBEsol
State: relaxed

Formation energy (no corrections) in eV/atom: 0.11
Crystal system: cubic

a b c (Å): 4.5207 4.5207 4.5207
angles (deg): 90.00 90.00 90.00
Last column: nearest neighbours and their distance in Å.
Space group Pm-3m (No. 221)
Inequivalent atoms, fractional coordinates:
Co 0.0000 0.0000 0.0000 [1 per cell]  6 Cl 2.26
Au 0.5000 0.5000 0.5000 [1 per cell]  12 Cl 3.20
Cl 0.0000 0.0000 0.5000 [3 per cell]  2 Co 2.26

Material: CoAuCl2
Method: DFT, GGA-PBEsol
State: relaxed

Formation energy (no corrections) in eV/atom: 0.05
Crystal system: orthorhombic
Energy relative to the lowest polymorph listed for this composition in meV per atom: 63

a b c (Å): 3.4971 5.5608 7.8175
angles (deg): 90.00 90.00 90.00
Last column: nearest neighbours and their distance in Å.
Space group Cmm2 (No. 35)
Inequivalent atoms, fractional coordinates:
Co 0.0000 0.0000 0.0000 [2 per cell]  2 Cl 2.17
Au 0.0000 0.5000 0.2271 [2 per cell]  2 Cl 2.45, 2 Co 2.49
Cl 0.0000 0.0000 0.4475 [2 per cell]  2 Au 2.45
Cl 0.0000 0.5000 0.8354 [2 per cell]  2 Co 2.17

Material: CoAuCl2
Method: DFT, GGA-PBEsol
State: relaxed

Formation energy (no corrections) in eV/atom: 0.24
Crystal system: tetragonal
Energy relative to the lowest polymorph listed for this composition in meV per atom: 254

a b c (Å): 2.8878 2.8878 9.0503
angles (deg): 90.00 90.00 90.00
Last column: nearest neighbours and their distance in Å.
Space group P4/mmm (No. 123)
Inequivalent atoms, fractional coordinates:
Co 0.0000 0.0000 0.0000 [1 per cell]  8 Cl 2.52
Au 0.0000 0.0000 0.5000 [1 per cell]  4 Au 2.89
Cl 0.5000 0.5000 0.1629 [2 per cell]  4 Co 2.52

Looking at total magnetization for the records above, in order, we have 2.0, 1.3, 0.0, 0.0, 0.0, 0.0, 0.0, 0.0, 0.0, 1.2, 3.5, 3.0 μB/cell.